1.
Entry from Alexandria: a relaxed LaAlTc crystal (PBE).

Results
calculated density = 6.8 g/cm3
total magnetization = 0.00 μB per cell
DFT formation energy = -138 meV/atom

Lattice parameters (Å, degrees): 6.4777 6.9172 6.5303 90.00 90.00 117.92
Closest atoms and distances in Å follow each position.
Fractional coordinates of all 12 atoms:
1 Tc 0.3909 0.7817 0.4980  1 La 2.46, 4 Al 2.65-2.66, 1 Tc 2.67
2 Al 0.2480 0.9960 0.7500  4 Tc 2.65-2.66
3 Tc 0.1091 0.2183 0.9980  1 La 2.46, 4 Al 2.65-2.66, 1 Tc 2.67
4 La 0.1897 0.3793 0.5038  1 Tc 2.46
5 Tc 0.6091 0.2183 0.5020  1 La 2.46, 4 Al 2.65-2.66, 1 Tc 2.67
6 La 0.8104 0.6207 0.4962  1 Tc 2.46
7 La 0.3104 0.6207 0.0038  1 Tc 2.46
8 Al 0.7520 0.0040 0.2500  4 Tc 2.65-2.66
9 Al 0.7480 0.9960 0.7500  4 Tc 2.65-2.66
10 La 0.6896 0.3793 0.9962  1 Tc 2.46
11 Tc 0.8909 0.7817 0.0020  1 La 2.46, 4 Al 2.65-2.66, 1 Tc 2.67
12 Al 0.2520 0.0040 0.2500  4 Tc 2.65-2.66

***

2.
Entry from Alexandria: a relaxed KRhPb4 crystal (PBE).

Results
calculated density = 8.7 g/cm3
total magnetization = 0.00 μB per cell
DFT formation energy = 395 meV/atom

Lattice parameters (Å, degrees): 6.4053 6.4053 6.4053 60.00 60.00 60.00
Closest atoms and distances in Å follow each position.
Fractional coordinates of all 6 atoms:
1 K 0.0000 0.0000 0.0000  12 Pb 3.76, 4 Rh 3.92
2 Pb 0.8712 0.3763 0.3763  6 Pb 3.17-3.24
3 Pb 0.3763 0.3763 0.8712  6 Pb 3.17-3.24
4 Rh 0.7500 0.7500 0.7500  12 Pb 3.75, 4 K 3.92
5 Pb 0.3763 0.8712 0.3763  6 Pb 3.17-3.24
6 Pb 0.3763 0.3763 0.3763  6 Pb 3.17-3.24

***

3.
Entry from Alexandria: a relaxed Sm3Ga4Ag4 crystal (PBE).

Results
calculated density = 8.2 g/cm3
total magnetization = 0.00 μB per cell
DFT formation energy = -432 meV/atom

Lattice parameters (Å, degrees): 3.6830 4.6019 14.2583 80.73 82.56 89.99
Closest atoms and distances in Å follow each position.
Fractional coordinates of all 11 atoms:
1 Sm 0.0000 0.0000 0.0000  4 Ag 3.19, 8 Ga 3.22-3.23
2 Ag 0.2587 0.2586 0.4826  4 Ga 2.71-2.74, 4 Ag 2.99
3 Ag 0.5933 0.0936 0.8132  3 Ga 2.63-2.64
4 Ga 0.5483 0.5472 0.9062  1 Ga 2.62, 2 Ag 2.64
5 Ag 0.4067 0.9064 0.1868  3 Ga 2.63-2.64
6 Ag 0.7414 0.7414 0.5174  4 Ga 2.71-2.75, 4 Ag 2.99
7 Sm 0.8560 0.3557 0.2884  6 Ga 3.19-3.28, 6 Ag 3.27-3.28
8 Ga 0.4517 0.4529 0.0938  1 Ga 2.62, 2 Ag 2.64
9 Sm 0.1441 0.6443 0.7116  6 Ga 3.19-3.28, 6 Ag 3.27-3.28
10 Ga 0.3124 0.8120 0.3753  5 Ag 2.63-2.74
11 Ga 0.6876 0.1880 0.6247  5 Ag 2.63-2.75

***

4.
Entry from Alexandria: a relaxed Ga5FeCo6 crystal (PBE).

Results
calculated density = 8.8 g/cm3
total magnetization = 5.97 μB per cell
DFT formation energy = -248 meV/atom

Lattice parameters (Å, degrees): 4.0696 5.7221 6.4489 90.00 71.61 90.00
Closest atoms and distances in Å follow each position.
Fractional coordinates of all 12 atoms:
1 Ga 0.6629 0.0000 0.6743  8 Co 2.45-2.52
2 Co 0.1667 0.2482 0.6666  7 Ga 2.48-2.52, 1 Fe 2.49
3 Co 0.1667 0.7518 0.6666  7 Ga 2.48-2.52, 1 Fe 2.49
4 Co 0.8333 0.7518 0.3334  7 Ga 2.48-2.52, 1 Fe 2.49
5 Co 0.5000 0.2504 0.0000  6 Ga 2.45-2.50, 2 Fe 2.49
6 Co 0.8333 0.2482 0.3334  7 Ga 2.48-2.52, 1 Fe 2.49
7 Ga 0.3371 0.0000 0.3257  8 Co 2.45-2.52
8 Ga 0.0000 0.5000 0.0000  8 Co 2.49-2.50
9 Co 0.5000 0.7496 0.0000  6 Ga 2.45-2.50, 2 Fe 2.49
10 Fe 0.0000 0.0000 0.0000  8 Co 2.49
11 Ga 0.6672 0.5000 0.6656  8 Co 2.49-2.50
12 Ga 0.3328 0.5000 0.3344  8 Co 2.49-2.50

***

Question: Look up the DFT formation energy of the fourth one.
Answer: -248 meV/atom